# Pu4H2Se5, relaxed, DFT GGA-PBE
# magnetization = 20.0 μB/f.u.
# crystal system = orthorhombic
# calculated density = 9.3 Mg/m³
# VASP energy = -8.452 eV per atom
data_Pu4H2Se5
_symmetry_space_group_name_H-M 'I m m m'
_symmetry_Int_Tables_number 71
_symmetry_space_group_name_Hall '-I 2 2'
_cell_length_a 3.910
_cell_length_b 7.227
_cell_length_c 17.410
_cell_angle_alpha 90.00
_cell_angle_beta 90.00
_cell_angle_gamma 90.00
loop_
_atom_site_label
_atom_site_fract_x
_atom_site_fract_y
_atom_site_fract_z
_atom_site_occupancy
Pu1 0.000 0.000 0.204 1
Pu2 0.000 0.290 0.500 1
H1 0.000 0.000 0.061 1
Se1 0.000 0.233 0.338 1
Se2 0.000 0.500 0.000 1

---

# Pu2H4Se, relaxed, DFT GGA-PBE
# polymorph energy (0 for the lowest one) = 82 meV/atom
# magnetization = 10.0 μB/f.u.
# crystal system = tetragonal
# calculated density = 10.2 Mg/m³
# VASP energy = -7.113 eV per atom
data_Pu2H4Se
_symmetry_space_group_name_H-M 'P 42/m n m'
_symmetry_Int_Tables_number 136
_symmetry_space_group_name_Hall '-P 4n 2n'
_cell_length_a 7.013
_cell_length_b 7.013
_cell_length_c 3.763
_cell_angle_alpha 90.00
_cell_angle_beta 90.00
_cell_angle_gamma 90.00
loop_
_atom_site_label
_atom_site_fract_x
_atom_site_fract_y
_atom_site_fract_z
_atom_site_occupancy
Pu1 0.218 0.218 0.000 1
H1 0.096 0.668 0.000 1
Se1 0.000 0.000 0.500 1

---

# Pu2H2Se, relaxed, DFT GGA-PBE
# polymorph energy (0 for the lowest one) = 0 meV/atom
# magnetization = 11.8 μB/f.u.
# crystal system = monoclinic
# calculated density = 11.4 Mg/m³
# VASP energy = -8.528 eV per atom
data_Pu2H2Se
_symmetry_space_group_name_H-M 'C 1 2/m 1'
_symmetry_Int_Tables_number 12
_cell_length_a 5.208
_cell_length_b 5.215
_cell_length_c 6.640
_cell_angle_alpha 90.00
_cell_angle_beta 112.95
_cell_angle_gamma 90.00
loop_
_symmetry_equiv_pos_as_xyz
'x,y,z'
'-x,-y,-z'
'-x,y,-z'
'x,-y,z'
'x+1/2,y+1/2,z'
'-x+1/2,-y+1/2,-z'
'-x+1/2,y+1/2,-z'
'x+1/2,-y+1/2,z'
loop_
_atom_site_label
_atom_site_fract_x
_atom_site_fract_y
_atom_site_fract_z
_atom_site_occupancy
Pu1 0.138 0.000 0.277 1
H1 0.000 0.251 0.500 1
Se1 0.000 0.500 0.000 1

---

# Pu2H4Se, relaxed, DFT GGA-PBE
# polymorph energy (0 for the lowest one) = 0 meV/atom
# magnetization = 10.0 μB/f.u.
# crystal system = trigonal
# calculated density = 10.6 Mg/m³
# VASP energy = -7.195 eV per atom
data_Pu2H4Se
_symmetry_space_group_name_H-M 'R -3 m'
_symmetry_Int_Tables_number 166
_symmetry_space_group_name_Hall '-R 3 2"'
_cell_length_a 3.8062
_cell_length_b 3.8062
_cell_length_c 21.3760
_cell_angle_alpha 90.00
_cell_angle_beta 90.00
_cell_angle_gamma 120.00
loop_
_atom_site_label
_atom_site_fract_x
_atom_site_fract_y
_atom_site_fract_z
_atom_site_occupancy
Pu1 0.0000 0.0000 0.2420 1
H1 0.0000 0.0000 0.1354 1
H2 0.0000 0.0000 0.4352 1
Se1 0.0000 0.0000 0.0000 1

---

# Pu3H2Se3, relaxed, DFT GGA-PBE
# magnetization = 16.0 μB/f.u.
# crystal system = hexagonal
# calculated density = 9.6 Mg/m³
# VASP energy = -8.436 eV per atom
data_Pu3H2Se3
_symmetry_space_group_name_H-M 'P 63/m c m'
_symmetry_Int_Tables_number 193
_symmetry_space_group_name_Hall '-P 6c 2'
_cell_length_a 8.2624
_cell_length_b 8.2624
_cell_length_c 5.6876
_cell_angle_alpha 90.00
_cell_angle_beta 90.00
_cell_angle_gamma 120.00
loop_
_atom_site_label
_atom_site_fract_x
_atom_site_fract_y
_atom_site_fract_z
_atom_site_occupancy
Pu1 0.0000 0.3818 0.2500 1
H1 0.3333 0.6667 0.0000 1
Se1 0.0000 0.2734 0.7500 1

---

# SmPuHSe2, relaxed, DFT GGA-PBE
# magnetization = 5.3 μB/f.u.
# crystal system = tetragonal
# calculated density = 8.7 Mg/m³
# VASP energy = -7.243 eV per atom
data_SmPuHSe2
_symmetry_space_group_name_H-M 'P 4/n m m'
_symmetry_Int_Tables_number 129
_cell_length_a 4.105
_cell_length_b 4.105
_cell_length_c 12.577
_cell_angle_alpha 90.00
_cell_angle_beta 90.00
_cell_angle_gamma 90.00
loop_
_symmetry_equiv_pos_as_xyz
'x,y,z'
'-x,-y,-z'
'-y+1/2,x,z'
'y+1/2,-x,-z'
'-x+1/2,-y+1/2,z'
'x+1/2,y+1/2,-z'
'y,-x+1/2,z'
'-y,x+1/2,-z'
'x+1/2,-y,-z'
'-x+1/2,y,z'
'-y,-x,-z'
'y,x,z'
'-x,y+1/2,-z'
'x,-y+1/2,z'
'y+1/2,x+1/2,-z'
'-y+1/2,-x+1/2,z'
loop_
_atom_site_label
_atom_site_fract_x
_atom_site_fract_y
_atom_site_fract_z
_atom_site_occupancy
Sm1 0.250 0.250 0.112 1
Pu1 0.250 0.250 0.591 1
H1 0.250 0.750 0.500 1
Se1 0.250 0.250 0.342 1
Se2 0.250 0.250 0.871 1